The following is a DFT calculation (GGA-PBE) of a relaxed CoBiAsBr2 crystal.

Cell: 4.834 4.834 4.895 Å, 90.00 90.00 90.00°
Atoms (fractional coordinates):
Co1 0.000 0.000 0.000
Bi1 0.500 0.500 0.500
As1 0.000 0.000 0.500
Br1 0.000 0.500 0.000
Br2 0.500 0.000 0.000

SG = P4/mmm (123)
Magnetization = 0.6 μB/f.u.
N(E_F) = 0.861 states/eV per atom
Distance to the lowest polymorph of the same formula = 0 kJ/mol of formula units
Formation energy from raw total energies = 1.110 eV per formula unit
E_tot = -3.57 eV/atom

***

The following is a DFT calculation (GGA-PBE) of a relaxed Cs2Tl3Zn crystal.

Cell: 7.608 7.689 9.528 Å, 98.06 111.60 103.04°
Atoms (fractional coordinates):
Cs1 0.028 0.115 0.229
Cs2 0.268 0.703 0.446
Cs3 0.732 0.297 0.554
Cs4 0.972 0.885 0.771
Tl1 0.201 0.474 0.985
Tl2 0.318 0.338 0.704
Tl3 0.445 0.917 0.144
Tl4 0.555 0.083 0.856
Tl5 0.682 0.662 0.296
Tl6 0.799 0.526 0.015
Zn1 0.487 0.288 0.101
Zn2 0.513 0.712 0.899

SG = P-1 (2)
Magnetization = 0.0 μB/f.u.
N(E_F) = 0.486 states/eV per atom
Distance to the lowest polymorph of the same formula = 0 kJ/mol of formula units
E_tot = -1.75 eV/atom

***

The following is a DFT calculation (GGA-PBE) of a relaxed NdYCuRu crystal.

Cell: 6.996 6.996 6.996 Å, 90.00 90.00 90.00°
Atoms (fractional coordinates):
Nd1 0.000 0.000 0.000
Nd2 0.000 0.500 0.500
Nd3 0.500 0.000 0.500
Nd4 0.500 0.500 0.000
Y1 0.000 0.000 0.500
Y2 0.000 0.500 0.000
Y3 0.500 0.000 0.000
Y4 0.500 0.500 0.500
Cu1 0.250 0.250 0.750
Cu2 0.250 0.750 0.250
Cu3 0.750 0.250 0.250
Cu4 0.750 0.750 0.750
Ru1 0.250 0.250 0.250
Ru2 0.250 0.750 0.750
Ru3 0.750 0.250 0.750
Ru4 0.750 0.750 0.250

SG = F-43m (216)
Magnetization = 0.0 μB/f.u.
N(E_F) = 0.789 states/eV per atom
E_tot = -6.38 eV/atom